Below is a relaxed structure of AlReBi2I, with properties calculated at the GGA-PBE level.

Space-group type: P4/mmm, No. 123
Theoretical density in g/cm³: 7.0
Energy above the most stable polymorph in this dataset in eV/atom: 0.970
Electronic total energy in eV per atom: -3.248
Raw formation energy in eV per atom: 1.852

Lattice parameters (Å, degrees): 6.0412 4.9175 6.0412 90.00 90.00 90.00
Positions (direct):
I 0.0000 0.0000 0.0000
Re 0.0000 0.5000 0.0000
Bi 0.0000 0.0000 0.5000
Bi 0.5000 0.0000 0.0000
Al 0.5000 0.5000 0.5000